VASP calculation (PBE) on a geometry-optimized AsH2OsI structure.

Lattice parameters (Å, degrees): 3.7363 3.7363 6.0382 90.00 90.00 90.00
Fractional positions:
As (0.0000, 0.0000, 0.0000)
H (0.0000, 0.5000, 0.0000)
H (0.5000, 0.0000, 0.0000)
Os (0.5000, 0.5000, 0.5000)
I (0.0000, 0.0000, 0.5000)

Properties
Space group: P4/mmm (123)

=====

VASP calculation (PBE) on a geometry-optimized ReAsHI2 structure.

Lattice parameters (Å, degrees): 5.5077 5.5077 3.4384 90.00 90.00 90.00
Fractional positions:
Re (0.0000, 0.0000, 0.0000)
As (0.5000, 0.5000, 0.5000)
H (0.5000, 0.5000, 0.0000)
I (0.0000, 0.5000, 0.5000)
I (0.5000, 0.0000, 0.5000)

Properties
Space group: P4/mmm (123)

=====

VASP calculation (PBE) on a geometry-optimized Re2AsHI structure.

Lattice parameters (Å, degrees): 4.2375 4.2375 4.0667 90.00 90.00 90.00
Fractional positions:
Re (0.0000, 0.5000, 0.0000)
Re (0.5000, 0.0000, 0.0000)
As (0.0000, 0.0000, 0.5000)
H (0.5000, 0.5000, 0.0000)
I (0.5000, 0.5000, 0.5000)

Properties
Space group: P4/mmm (123)

=====

For the records above, the corresponding total DFT energy (no corrections) values read -17.7; -16.7; -27.5 eV for the cell shown.
For the records above, the corresponding M_tot values read 0.65; 1.74; 0.00 μB/f.u..